[1]
A relaxed structure of Sc3BSb. Source: Alexandria, functional GGA-PBEsol.

abc: 4.583 4.583 4.583
angles: 90.00 90.00 90.00
Positions (direct):
Sc1 0.000 0.500 0.000
Sc2 0.000 0.000 0.500
Sc3 0.500 0.000 0.000
Sb1 0.500 0.500 0.500
B1 0.000 0.000 0.000

Results
**ΔE_f (raw)**: -0.6937 eV/atom
**Energy**: -34.857 eV per formula unit

***

[2]
A relaxed structure of ScBSb2. Source: Alexandria, functional GGA-PBEsol.

abc: 6.009 6.009 6.009
angles: 107.07 110.68 110.68
Positions (direct):
Sc1 0.000 0.000 0.000
Sc2 0.500 0.750 0.250
Sb1 0.077 0.875 0.452
Sb2 0.923 0.375 0.798
Sb3 0.423 0.548 0.625
Sb4 0.577 0.202 0.125
B1 0.000 0.500 0.500
B2 0.500 0.250 0.750

Results
**ΔE_f (raw)**: 0.0372 eV/atom
**Energy**: -22.587 eV per formula unit

***

[3]
A relaxed structure of B2SbSe. Source: Alexandria, functional GGA-PBEsol.

abc: 4.332 4.332 4.332
angles: 60.00 60.00 60.00
Positions (direct):
Sb1 0.500 0.500 0.500
B1 0.250 0.250 0.250
B2 0.750 0.750 0.750
Se1 0.000 0.000 0.000

Results
**ΔE_f (raw)**: 1.5325 eV/atom
**Energy**: -16.310 eV per formula unit

***

[4]
A relaxed structure of SiBSb3. Source: Alexandria, functional GGA-PBEsol.

abc: 5.112 5.112 5.112
angles: 90.00 90.00 90.00
Positions (direct):
Sb1 0.000 0.500 0.000
Sb2 0.000 0.000 0.500
Sb3 0.500 0.000 0.000
Si1 0.000 0.000 0.000
B1 0.500 0.500 0.500

Results
**ΔE_f (raw)**: 1.4859 eV/atom
**Energy**: -19.006 eV per formula unit

***

[5]
A relaxed structure of SnBSbTe2. Source: Alexandria, functional GGA-PBEsol.

abc: 5.540 5.619 5.619
angles: 90.00 90.00 90.00
Positions (direct):
Sb1 0.500 0.000 0.000
B1 0.500 0.500 0.500
Te1 0.000 0.000 0.500
Te2 0.000 0.500 0.000
Sn1 0.000 0.000 0.000

Results
**ΔE_f (raw)**: 1.5639 eV/atom
**Energy**: -15.066 eV per formula unit

***

[6]
A relaxed structure of SrB3Sb. Source: Alexandria, functional GGA-PBEsol.

abc: 4.546 4.546 4.546
angles: 90.00 90.00 90.00
Positions (direct):
Sb1 0.000 0.000 0.000
B1 0.000 0.500 0.000
B2 0.000 0.000 0.500
B3 0.500 0.000 0.000
Sr1 0.500 0.500 0.500

Results
**ΔE_f (raw)**: 1.4924 eV/atom
**Energy**: -19.985 eV per formula unit

***

[7]
A relaxed structure of TaBSb3. Source: Alexandria, functional GGA-PBEsol.

abc: 4.671 4.671 4.671
angles: 90.00 90.00 90.00
Positions (direct):
Sb1 0.000 0.500 0.000
Sb2 0.000 0.000 0.500
Sb3 0.500 0.000 0.000
B1 0.000 0.000 0.000
Ta1 0.500 0.500 0.500

Results
**ΔE_f (raw)**: 1.0459 eV/atom
**Energy**: -28.010 eV per formula unit

***

[8]
A relaxed structure of TcB3Sb. Source: Alexandria, functional GGA-PBEsol.

abc: 4.136 4.136 4.136
angles: 90.00 90.00 90.00
Positions (direct):
Sb1 0.500 0.500 0.500
B1 0.000 0.500 0.000
B2 0.000 0.000 0.500
B3 0.500 0.000 0.000
Tc1 0.000 0.000 0.000

Results
**ΔE_f (raw)**: 1.2425 eV/atom
**Energy**: -30.660 eV per formula unit

***

[9]
A relaxed structure of Tc2BSb. Source: Alexandria, functional GGA-PBEsol.

abc: 4.253 4.253 4.253
angles: 60.00 60.00 60.00
Positions (direct):
Sb1 0.500 0.500 0.500
B1 0.000 0.000 0.000
Tc1 0.250 0.250 0.250
Tc2 0.750 0.750 0.750

Results
**ΔE_f (raw)**: 0.5282 eV/atom
**Energy**: -31.993 eV per formula unit

***

[10]
A relaxed structure of BSbTe2. Source: Alexandria, functional GGA-PBEsol.

abc: 6.468 6.468 6.468
angles: 96.58 116.28 116.28
Positions (direct):
Sb1 0.000 0.000 0.000
Sb2 0.500 0.750 0.250
B1 0.000 0.500 0.500
B2 0.500 0.250 0.750
Te1 0.913 0.538 0.125
Te2 0.087 0.212 0.625
Te3 0.587 0.375 0.462
Te4 0.413 0.875 0.788

Results
**ΔE_f (raw)**: 0.5336 eV/atom
**Energy**: -16.492 eV per formula unit

***

[11]
A relaxed structure of Tl2BSbTe. Source: Alexandria, functional GGA-PBEsol.

abc: 5.602 6.204 6.204
angles: 90.00 90.00 90.00
Positions (direct):
Sb1 0.500 0.000 0.000
Tl1 0.000 0.000 0.500
Tl2 0.000 0.500 0.000
Te1 0.000 0.000 0.000
B1 0.500 0.500 0.500

Results
**ΔE_f (raw)**: 1.5479 eV/atom
**Energy**: -12.621 eV per formula unit

***

[12]
A relaxed structure of TlBSb3. Source: Alexandria, functional GGA-PBEsol.

abc: 4.895 4.895 4.895
angles: 90.00 90.00 90.00
Positions (direct):
Sb1 0.000 0.500 0.000
Sb2 0.000 0.000 0.500
Sb3 0.500 0.000 0.000
Tl1 0.500 0.500 0.500
B1 0.000 0.000 0.000

Results
**ΔE_f (raw)**: 0.5950 eV/atom
**Energy**: -20.344 eV per formula unit

***

[13]
A relaxed structure of B3SbW. Source: Alexandria, functional GGA-PBEsol.

abc: 4.220 4.220 4.220
angles: 90.00 90.00 90.00
Positions (direct):
Sb1 0.500 0.500 0.500
B1 0.000 0.500 0.000
B2 0.000 0.000 0.500
B3 0.500 0.000 0.000
W1 0.000 0.000 0.000

Results
**ΔE_f (raw)**: 1.3804 eV/atom
**Energy**: -32.512 eV per formula unit

***

[14]
A relaxed structure of YBSb3. Source: Alexandria, functional GGA-PBEsol.

abc: 5.649 5.649 5.649
angles: 90.00 90.00 90.00
Positions (direct):
Y1 0.000 0.000 0.000
Sb1 0.000 0.500 0.000
Sb2 0.000 0.000 0.500
Sb3 0.500 0.000 0.000
B1 0.500 0.500 0.500

Results
**ΔE_f (raw)**: 1.3690 eV/atom
**Energy**: -20.666 eV per formula unit

***

[15]
A relaxed structure of Zn3BSb. Source: Alexandria, functional GGA-PBEsol.

abc: 5.114 5.114 5.114
angles: 90.00 90.00 90.00
Positions (direct):
Sb1 0.000 0.000 0.000
Zn1 0.000 0.500 0.000
Zn2 0.000 0.000 0.500
Zn3 0.500 0.000 0.000
B1 0.500 0.500 0.500

Results
**ΔE_f (raw)**: 1.5806 eV/atom
**Energy**: -8.416 eV per formula unit

***

[16]
A relaxed structure of ScB12. Source: Alexandria, functional GGA-PBEsol.

abc: 5.217 5.217 5.217
angles: 60.00 60.00 60.00
Positions (direct):
Sc1 0.000 0.000 0.000
B1 0.838 0.500 0.162
B2 0.162 0.500 0.838
B3 0.162 0.500 0.500
B4 0.500 0.162 0.838
B5 0.500 0.838 0.500
B6 0.500 0.162 0.500
B7 0.162 0.838 0.500
B8 0.500 0.500 0.838
B9 0.500 0.838 0.162
B10 0.838 0.162 0.500
B11 0.500 0.500 0.162
B12 0.838 0.500 0.500

Results
**Formation enthalpy at 0 K**: -0.2363 eV per atom
**Energy**: -93.874 eV per formula unit

***

[17]
A relaxed structure of Sc2BSe. Source: Alexandria, functional GGA-PBEsol.

abc: 4.501 4.501 4.501
angles: 60.00 60.00 60.00
Positions (direct):
Sc1 0.250 0.250 0.250
Sc2 0.750 0.750 0.750
B1 0.000 0.000 0.000
Se1 0.500 0.500 0.500

Results
**ΔE_f (raw)**: -0.3629 eV/atom
**Energy**: -25.528 eV per formula unit

***

[18]
A relaxed structure of ScBW2Se. Source: Alexandria, functional GGA-PBEsol.

abc: 4.145 4.145 4.754
angles: 90.00 90.00 90.00
Positions (direct):
Sc1 0.500 0.500 0.500
B1 0.000 0.000 0.000
Se1 0.000 0.000 0.500
W1 0.000 0.500 0.000
W2 0.500 0.000 0.000

Results
**ΔE_f (raw)**: 0.5297 eV/atom
**Energy**: -42.438 eV per formula unit

***

[19]
A relaxed structure of ScSi2B2. Source: Alexandria, functional GGA-PBEsol.

abc: 3.948 3.948 4.799
angles: 114.29 114.29 90.00
Positions (direct):
Sc1 0.000 0.000 0.000
Si1 0.349 0.349 0.698
Si2 0.651 0.651 0.302
B1 0.250 0.750 0.500
B2 0.750 0.250 0.500

Results
**ΔE_f (raw)**: 0.0737 eV/atom
**Energy**: -31.763 eV per formula unit

***

[20]
A relaxed structure of ScZn2SiB. Source: Alexandria, functional GGA-PBEsol.

abc: 3.732 4.712 4.712
angles: 90.00 90.00 90.00
Positions (direct):
Sc1 0.500 0.500 0.500
Zn1 0.000 0.000 0.500
Zn2 0.000 0.500 0.000
B1 0.500 0.000 0.000
Si1 0.000 0.000 0.000

Results
**ΔE_f (raw)**: 0.5473 eV/atom
**Energy**: -19.795 eV per formula unit

***

[21]
A relaxed structure of Sr3ScB. Source: Alexandria, functional GGA-PBEsol.

abc: 6.100 6.100 6.100
angles: 90.00 90.00 90.00
Positions (direct):
Sc1 0.000 0.000 0.000
Sr1 0.000 0.500 0.000
Sr2 0.000 0.000 0.500
Sr3 0.500 0.000 0.000
B1 0.500 0.500 0.500

Results
**Formation enthalpy at 0 K**: 1.6523 eV per atom
**Energy**: -10.881 eV per formula unit

***

[22]
A relaxed structure of SrScB2. Source: Alexandria, functional GGA-PBEsol.

abc: 4.348 4.348 8.787
angles: 104.32 104.32 90.00
Positions (direct):
Sc1 0.500 0.500 0.000
Sc2 0.750 0.250 0.500
Sr1 0.000 0.000 0.000
Sr2 0.250 0.750 0.500
B1 0.625 0.375 0.750
B2 0.125 0.375 0.750
B3 0.625 0.875 0.250
B4 0.625 0.375 0.250

Results
**Formation enthalpy at 0 K**: 0.9047 eV per atom
**Energy**: -18.859 eV per formula unit

***

[23]
A relaxed structure of SrScB3. Source: Alexandria, functional GGA-PBEsol.

abc: 4.468 4.468 4.468
angles: 90.00 90.00 90.00
Positions (direct):
Sc1 0.500 0.500 0.500
Sr1 0.000 0.000 0.000
B1 0.000 0.500 0.000
B2 0.000 0.000 0.500
B3 0.500 0.000 0.000

Results
**Formation enthalpy at 0 K**: 2.3303 eV per atom
**Energy**: -17.843 eV per formula unit

***

[24]
A relaxed structure of Sc3TaB. Source: Alexandria, functional GGA-PBEsol.

abc: 4.966 4.966 4.966
angles: 90.00 90.00 90.00
Positions (direct):
Sc1 0.000 0.500 0.000
Sc2 0.000 0.000 0.500
Sc3 0.500 0.000 0.000
B1 0.500 0.500 0.500
Ta1 0.000 0.000 0.000

Results
**Formation enthalpy at 0 K**: 1.5750 eV per atom
**Energy**: -31.507 eV per formula unit

***

[25]
A relaxed structure of ScBTe2. Source: Alexandria, functional GGA-PBEsol.

abc: 6.346 6.541 6.346
angles: 119.02 90.00 119.02
Positions (direct):
Sc1 0.250 0.500 0.750
Sc2 0.000 0.000 0.000
B1 0.750 0.500 0.250
B2 0.500 0.000 0.500
Te1 0.802 0.250 0.875
Te2 0.448 0.250 0.375
Te3 0.625 0.750 0.198
Te4 0.125 0.750 0.552

Results
**ΔE_f (raw)**: 0.0943 eV/atom
**Energy**: -20.297 eV per formula unit

***

[26]
A relaxed structure of Sc3TlB. Source: Alexandria, functional GGA-PBEsol.

abc: 4.635 4.635 4.635
angles: 90.00 90.00 90.00
Positions (direct):
Sc1 0.000 0.500 0.000
Sc2 0.000 0.000 0.500
Sc3 0.500 0.000 0.000
Tl1 0.500 0.500 0.500
B1 0.000 0.000 0.000

Results
**Formation enthalpy at 0 K**: -0.3895 eV per atom
**Energy**: -31.409 eV per formula unit

***

[27]
A relaxed structure of Sc3TlB. Source: Alexandria, functional GGA-PBEsol.

abc: 5.216 5.216 5.216
angles: 90.00 90.00 90.00
Positions (direct):
Sc1 0.000 0.500 0.000
Sc2 0.000 0.000 0.500
Sc3 0.500 0.000 0.000
Tl1 0.000 0.000 0.000
B1 0.500 0.500 0.500

Results
**Formation enthalpy at 0 K**: 1.3166 eV per atom
**Energy**: -22.879 eV per formula unit

***

[28]
A relaxed structure of ScTl2B. Source: Alexandria, functional GGA-PBEsol.

abc: 4.859 4.859 4.859
angles: 60.00 60.00 60.00
Positions (direct):
Sc1 0.500 0.500 0.500
Tl1 0.250 0.250 0.250
Tl2 0.750 0.750 0.750
B1 0.000 0.000 0.000

Results
**Formation enthalpy at 0 K**: 0.7890 eV per atom
**Energy**: -15.726 eV per formula unit